(1)
Below is a geometry-optimized Sr2YSi3Pt12 structure, with properties calculated at the GGA-PBE level.

Values from the calculation:
The calculation puts the total energy at -5.93 eV per atom. Its density of states at the Fermi level is 5.8 states/eV per cell. For the formation energy without anion corrections, the calculation gives -453 meV/atom.

abc: 7.7597 7.7597 7.7597
angles: 65.68 65.68 65.68
Closest atoms and distances in Å follow each position.
Atoms (fractional coordinates):
Y (0.0000, 0.0000, 0.0000)  6 Pt 2.70
Pt (0.0939, 0.6547, 0.6547)  2 Si 2.37
Sr (0.5988, 0.5988, 0.5988)  6 Pt 2.96-2.98
Pt (0.6039, 0.1407, 0.1407)  1 Si 2.34
Pt (0.6547, 0.0939, 0.6547)  2 Si 2.37
Pt (0.3453, 0.9061, 0.3453)  2 Si 2.37
Pt (0.1407, 0.6039, 0.1407)  1 Si 2.34
Pt (0.6547, 0.6547, 0.0939)  2 Si 2.37
Pt (0.8593, 0.8593, 0.3961)  1 Si 2.34
Pt (0.1407, 0.1407, 0.6039)  1 Si 2.34
Sr (0.4012, 0.4012, 0.4012)  6 Pt 2.96-2.98
Pt (0.9061, 0.3453, 0.3453)  2 Si 2.37
Pt (0.3961, 0.8593, 0.8593)  1 Si 2.34
Si (0.0000, 0.0000, 0.5000)  6 Pt 2.34-2.37
Si (0.5000, 0.0000, 0.0000)  6 Pt 2.34-2.37
Si (0.0000, 0.5000, 0.0000)  6 Pt 2.34-2.37
Pt (0.3453, 0.3453, 0.9061)  2 Si 2.37
Pt (0.8593, 0.3961, 0.8593)  1 Si 2.34



(2)
Below is a geometry-optimized MgZr2Br structure, with properties calculated at the GGA-PBE level.

Values from the calculation:
The calculation puts the total energy at -4.86 eV per atom. As for the energy relative to the lowest polymorph listed for this composition: 512 meV/atom. Its density of states at the Fermi level is 5.4 states/eV per cell. For the formation energy without anion corrections, the calculation gives 235 meV/atom.

abc: 5.7650 5.7650 5.7650
angles: 136.66 136.66 62.96
Closest atoms and distances in Å follow each position.
Atoms (fractional coordinates):
Zr (0.2500, 0.7500, 0.5000)  4 Mg 3.01, 4 Zr 3.25, 4 Br 3.25
Br (0.5000, 0.5000, 0.0000)  8 Zr 3.01-3.25, 4 Mg 3.25
Zr (0.0000, 0.0000, 0.0000)  4 Br 3.01, 4 Zr 3.25, 4 Mg 3.25
Mg (0.7500, 0.2500, 0.5000)  8 Zr 3.01-3.25, 4 Br 3.25



(3)
Below is a geometry-optimized TiCrSb2I structure, with properties calculated at the GGA-PBE level.

Values from the calculation:
The calculation puts the total energy at -4.74 eV per atom. As for the energy relative to the lowest polymorph listed for this composition: 194 meV/atom. Its density of states at the Fermi level is 6.9 states/eV per cell. For the formation energy without anion corrections, the calculation gives 720 meV/atom.

abc: 5.0776 5.5261 5.0776
angles: 90.00 90.00 90.00
Closest atoms and distances in Å follow each position.
Atoms (fractional coordinates):
Cr (0.0000, 0.0000, 0.0000)  4 Sb 2.54, 2 I 2.76
Sb (0.0000, 0.0000, 0.5000)  2 Cr 2.54
Sb (0.5000, 0.0000, 0.0000)  2 Cr 2.54
I (0.0000, 0.5000, 0.0000)  2 Cr 2.76
Ti (0.5000, 0.5000, 0.5000)  4 I 3.59, 8 Sb 3.75



(4)
Below is a geometry-optimized Cs2SrZn2O4 structure, with properties calculated at the GGA-PBE level.

Values from the calculation:
The calculation puts the total energy at -4.47 eV per atom. Its density of states at the Fermi level is 0.0 states/eV per cell. For the formation energy without anion corrections, the calculation gives -1606 meV/atom.

abc: 3.6865 7.0765 7.3367
angles: 107.79 104.55 90.00
Closest atoms and distances in Å follow each position.
Atoms (fractional coordinates):
O (0.4617, 0.2094, 0.9235)  1 Zn 1.94
Zn (0.3264, 0.0309, 0.6528)  4 O 1.94-2.11
Zn (0.6736, 0.9691, 0.3472)  4 O 1.94-2.11
Sr (0.0000, 0.0000, 0.0000)  6 O 2.53-2.73
Cs (0.1305, 0.5401, 0.2609)  7 O 3.12-3.42, 2 Zn 3.44
Cs (0.8695, 0.4599, 0.7391)  7 O 3.12-3.42, 2 Zn 3.44
O (0.2023, 0.1216, 0.4046)  3 Zn 2.06-2.11
O (0.5383, 0.7906, 0.0765)  1 Zn 1.94
O (0.7977, 0.8784, 0.5954)  3 Zn 2.06-2.11



(5)
Below is a geometry-optimized ThGa3Rh5 structure, with properties calculated at the GGA-PBE level.

Values from the calculation:
The calculation puts the total energy at -6.46 eV per atom. Its density of states at the Fermi level is 11.5 states/eV per cell. The formation energy from the elements comes out at -540 meV per atom.

abc: 3.9694 5.8967 13.9448
angles: 90.00 90.00 109.67
Closest atoms and distances in Å follow each position.
Atoms (fractional coordinates):
Rh (0.5224, 0.0447, 0.3501)  4 Ga 2.56-2.61, 1 Rh 2.79
Rh (0.4776, 0.9553, 0.8501)  4 Ga 2.56-2.61, 1 Rh 2.79
Rh (0.2075, 0.4151, 0.8846)  4 Ga 2.48-2.57
Ga (0.6378, 0.2756, 0.9874)  7 Rh 2.48-2.61
Ga (0.0517, 0.1034, 0.7500)  6 Rh 2.55-2.56
Rh (0.2075, 0.4151, 0.6154)  4 Ga 2.48-2.57
Rh (0.7925, 0.5849, 0.3846)  4 Ga 2.48-2.57
Ga (0.3622, 0.7244, 0.0126)  7 Rh 2.48-2.61
Ga (0.6378, 0.2756, 0.5126)  7 Rh 2.48-2.61
Ga (0.9483, 0.8966, 0.2500)  6 Rh 2.55-2.56
Th (0.7836, 0.5673, 0.7500)  4 Rh 2.86, 1 Ga 2.98
Rh (0.0000, 0.0000, 0.5000)  4 Ga 2.51, 2 Rh 2.81
Ga (0.3622, 0.7244, 0.4874)  7 Rh 2.48-2.61
Rh (0.5224, 0.0447, 0.1499)  4 Ga 2.56-2.61, 1 Rh 2.79
Th (0.2164, 0.4327, 0.2500)  4 Rh 2.86, 1 Ga 2.98
Rh (0.7925, 0.5849, 0.1154)  4 Ga 2.48-2.57
Rh (0.4776, 0.9553, 0.6499)  4 Ga 2.56-2.61, 1 Rh 2.79
Rh (0.0000, 0.0000, 0.0000)  4 Ga 2.51, 2 Rh 2.81



(6)
Below is a geometry-optimized Li2Ga5Ni3 structure, with properties calculated at the GGA-PBE level.

Values from the calculation:
The calculation puts the total energy at -3.93 eV per atom. Its density of states at the Fermi level is 8.6 states/eV per cell. The formation energy from the elements comes out at -296 meV per atom.

abc: 5.2022 7.4828 7.4827
angles: 104.48 93.91 93.91
Closest atoms and distances in Å follow each position.
Atoms (fractional coordinates):
Ga (0.4765, 0.8221, 0.7207)  3 Ni 2.39-2.55
Ga (0.5235, 0.1779, 0.2793)  3 Ni 2.39-2.55
Li (0.6078, 0.8594, 0.3863)  6 Ga 2.65-2.84, 2 Li 2.72-2.83, 4 Ni 2.74-2.94
Ga (0.9254, 0.0367, 0.7158)  4 Ni 2.39-2.61, 1 Li 2.65
Ni (0.3850, 0.5070, 0.2303)  5 Ga 2.39-2.56
Ga (0.4254, 0.7158, 0.0367)  4 Ni 2.39-2.61, 1 Li 2.65
Ni (0.1150, 0.7697, 0.4930)  5 Ga 2.39-2.56
Ga (0.7500, 0.5372, 0.4628)  4 Ni 2.44-2.54
Li (0.1078, 0.3863, 0.8594)  6 Ga 2.65-2.84, 2 Li 2.72-2.83, 4 Ni 2.74-2.94
Ni (0.8850, 0.2303, 0.5070)  5 Ga 2.39-2.56
Ga (0.5746, 0.2842, 0.9633)  4 Ni 2.39-2.61, 1 Li 2.65
Ga (0.9765, 0.7207, 0.8221)  3 Ni 2.39-2.55
Ni (0.6150, 0.4930, 0.7697)  5 Ga 2.39-2.56
Ga (0.0746, 0.9633, 0.2842)  4 Ni 2.39-2.61, 1 Li 2.65
Ni (0.7500, 0.9820, 0.0180)  8 Ga 2.53-2.61, 2 Ni 2.64
Ga (0.2500, 0.4628, 0.5372)  4 Ni 2.44-2.54
Ga (0.0235, 0.2793, 0.1779)  3 Ni 2.39-2.55
Li (0.8922, 0.6137, 0.1406)  6 Ga 2.65-2.84, 2 Li 2.72-2.83, 4 Ni 2.74-2.94
Ni (0.2500, 0.0180, 0.9820)  8 Ga 2.53-2.61, 2 Ni 2.64
Li (0.3922, 0.1406, 0.6137)  6 Ga 2.65-2.84, 2 Li 2.72-2.83, 4 Ni 2.74-2.94